Entry 1:
This record from the Alexandria database describes OsRuRh2 at its PBEsol-relaxed geometry. The functional is SCAN.

Lattice parameters (Å, degrees): 4.1399 2.6433 9.9872 90.00 90.00 90.00
Closest atoms and distances in Å follow each position.
Space group Amm2 (No. 38)
Symmetry-distinct sites (fractional):
Os  0.0000  0.0000  0.0000 [2 per cell]  7 Rh 2.54-2.78, 2 Os 2.64
Ru  0.5000  0.0000  0.6514 [2 per cell]  7 Rh 2.54-2.79, 2 Ru 2.64
Rh  0.0000  0.0000  0.2548 [2 per cell]  4 Rh 2.51-2.64, 3 Os 2.54-2.78, 4 Ru 2.66
Rh  0.5000  0.0000  0.3976 [2 per cell]  4 Rh 2.51-2.64, 3 Ru 2.54-2.79, 4 Os 2.66

Density of states at the Fermi level   0.77 states/eV/atom
Offset from the most stable computed form   0.57 eV per formula unit
Magnetization   0.0 μB per cell

=====

Entry 2:
This record from the Alexandria database describes CsAgF3 at its PBEsol-relaxed geometry. The functional is SCAN.

Lattice parameters (Å, degrees): 6.2902 6.2902 8.6672 90.00 90.00 90.00
Closest atoms and distances in Å follow each position.
Space group I4/mcm (No. 140)
Symmetry-distinct sites (fractional):
Cs  0.0000  0.0000  0.2500 [4 per cell]  12 F 3.11-3.15
Ag  0.0000  0.5000  0.0000 [4 per cell]  4 F 2.09-2.17
F  0.0000  0.5000  0.2500 [4 per cell]  2 Ag 2.17
F  0.2350  0.2650  0.0000 [8 per cell]  1 Ag 2.09

Density of states at the Fermi level   0.18 states/eV/atom
Magnetization   0.0 μB per cell
ΔE_f (raw)   -2.04 eV per atom

=====

Entry 3:
This record from the Alexandria database describes Te4PW at its PBEsol-relaxed geometry. The functional is SCAN.

Lattice parameters (Å, degrees): 8.5210 8.5210 8.5210 90.00 90.00 90.00
Closest atoms and distances in Å follow each position.
Space group F-43m (No. 216)
Symmetry-distinct sites (fractional):
Te  0.1254  0.1254  0.1254 [16 per cell]  6 Te 3.00-3.02
P  0.2500  0.2500  0.7500 [4 per cell]  12 Te 3.53, 4 W 3.69
W  0.0000  0.0000  0.5000 [4 per cell]  12 Te 3.53, 4 P 3.69

Density of states at the Fermi level   0.84 states/eV/atom
Magnetization   8.3 μB per cell
ΔE_f (raw)   1.65 eV per atom

=====

Entry 4:
This record from the Alexandria database describes Hg2SbRh at its PBEsol-relaxed geometry. The functional is SCAN.

Lattice parameters (Å, degrees): 3.2040 3.2040 27.8938 90.00 90.00 120.00
Closest atoms and distances in Å follow each position.
Space group R-3m (No. 166, hexagonal axes)
Symmetry-distinct sites (fractional):
Hg  0.0000  0.0000  0.2396 [6 per cell]  3 Rh 2.75
Sb  0.0000  0.0000  0.0000 [3 per cell]  6 Hg 3.20, 6 Sb 3.20
Rh  0.0000  0.0000  0.5000 [3 per cell]  6 Hg 2.75

Density of states at the Fermi level   0.54 states/eV/atom
Magnetization   1.4 μB per cell
ΔE_f (raw)   0.32 eV per atom

=====

Entry 5:
This record from the Alexandria database describes Li3CoSiO5 at its PBEsol-relaxed geometry. The functional is SCAN.

Lattice parameters (Å, degrees): 5.3644 15.5408 4.8630 90.00 90.00 90.00
Closest atoms and distances in Å follow each position.
Space group Pna2_1 (No. 33)
Symmetry-distinct sites (fractional):
Li  0.1637  0.0046  0.0000 [4 per cell]  4 O 1.93-2.05
Li  0.1678  0.5929  0.9959 [4 per cell]  4 O 1.91-2.02
Li  0.1732  0.1967  0.0043 [4 per cell]  4 O 1.89-2.02
Co  0.1712  0.8009  0.9970 [4 per cell]  4 O 1.82-1.90
Si  0.1644  0.4018  0.0041 [4 per cell]  4 O 1.61-1.69
O  0.1241  0.6016  0.5999 [4 per cell]  1 Si 1.62
O  0.1573  0.2030  0.5907 [4 per cell]  2 Co 1.82-1.83, 2 Li 2.01-2.02
O  0.1769  0.3952  0.6591 [4 per cell]  1 Si 1.68, 1 Co 1.85
O  0.1836  0.9860  0.6025 [4 per cell]  1 Si 1.61
O  0.1883  0.8118  0.6093 [4 per cell]  1 Si 1.69

Magnetization   16.0 μB per cell
ΔE_f (raw)   -2.28 eV per atom

=====

Entry 6:
This record from the Alexandria database describes LiY2Sc at its PBEsol-relaxed geometry. The functional is SCAN.

Lattice parameters (Å, degrees): 3.5420 3.5420 8.3028 90.00 90.00 90.00
Closest atoms and distances in Å follow each position.
Space group P4/mmm (No. 123)
Symmetry-distinct sites (fractional):
Li  0.0000  0.0000  0.0000 [1 per cell]  8 Y 3.20, 4 Li 3.54
Y  0.5000  0.5000  0.2404 [2 per cell]  4 Li 3.20, 4 Sc 3.30, 4 Y 3.54
Sc  0.0000  0.0000  0.5000 [1 per cell]  8 Y 3.30, 4 Sc 3.54

Density of states at the Fermi level   0.95 states/eV/atom
Offset from the most stable computed form   0.00 eV per formula unit
Magnetization   0.8 μB per cell

=====

Entry 7:
This record from the Alexandria database describes Ba2SrTl at its PBEsol-relaxed geometry. The functional is SCAN.

Lattice parameters (Å, degrees): 4.3238 5.5378 7.8085 90.00 106.03 90.00
Closest atoms and distances in Å follow each position.
Space group Pm (No. 6)
Symmetry-distinct sites (fractional):
Ba  0.0000  0.0000  0.0000 [1 per cell]  1 Tl 3.66, 4 Sr 4.00
Ba  0.3429  0.5000  0.6837 [1 per cell]  4 Tl 3.74, 2 Sr 3.87-3.88
Sr  0.6272  0.5000  0.2545 [1 per cell]  2 Tl 3.38
Tl  0.7590  0.0000  0.5123 [1 per cell]  2 Sr 3.38, 5 Ba 3.66-3.74

Density of states at the Fermi level   1.48 states/eV/atom
Offset from the most stable computed form   0.51 eV per formula unit
Magnetization   0.0 μB per cell

=====

Entry 8:
This record from the Alexandria database describes Tc4Pt5 at its PBEsol-relaxed geometry. The functional is SCAN.

Lattice parameters (Å, degrees): 8.2034 8.2034 3.8679 90.00 90.00 90.00
Closest atoms and distances in Å follow each position.
Space group I4/mmm (No. 139)
Symmetry-distinct sites (fractional):
Tc  0.0000  0.3488  0.0000 [8 per cell]  5 Tc 2.48-2.61, 2 Pt 2.71
Pt  0.0000  0.0000  0.0000 [2 per cell]  8 Pt 2.76, 4 Tc 2.86
Pt  0.1699  0.1699  0.5000 [8 per cell]  6 Pt 2.68-2.79, 6 Tc 2.71-2.80

Density of states at the Fermi level   0.58 states/eV/atom
Magnetization   0.0 μB per cell
VASP energy   -987.3 eV/cell

=====

Entry 9:
This record from the Alexandria database describes YHI3 at its PBEsol-relaxed geometry. The functional is SCAN.

Lattice parameters (Å, degrees): 5.9307 5.9307 5.9307 90.00 90.00 90.00
Closest atoms and distances in Å follow each position.
Space group Pm-3m (No. 221)
Symmetry-distinct sites (fractional):
Y  0.0000  0.0000  0.0000 [1 per cell]  6 I 2.97
H  0.5000  0.5000  0.5000 [1 per cell]  12 I 4.19
I  0.0000  0.0000  0.5000 [3 per cell]  2 Y 2.97

Density of states at the Fermi level   0.00 states/eV/atom
Offset from the most stable computed form   0.00 eV per formula unit
Magnetization   1.0 μB per cell

=====

Entry 10:
This record from the Alexandria database describes SrAl2Cu at its PBEsol-relaxed geometry. The functional is SCAN.

Lattice parameters (Å, degrees): 4.2148 4.2148 17.4188 90.00 90.00 120.00
Closest atoms and distances in Å follow each position.
Space group R-3m (No. 166, hexagonal axes)
Symmetry-distinct sites (fractional):
Sr  0.0000  0.0000  0.0000 [3 per cell]  8 Al 3.35-3.50
Al  0.0000  0.0000  0.2009 [6 per cell]  3 Cu 2.51, 3 Al 2.71
Cu  0.0000  0.0000  0.5000 [3 per cell]  6 Al 2.51

Density of states at the Fermi level   0.63 states/eV/atom
Magnetization   0.8 μB per cell
VASP energy   -162.1 eV/cell

=====

Entry 11:
This record from the Alexandria database describes Cu3Mo at its PBEsol-relaxed geometry. The functional is SCAN.

Lattice parameters (Å, degrees): 5.4909 7.3872 2.4865 90.00 90.00 90.00
Closest atoms and distances in Å follow each position.
Space group Cmmm (No. 65)
Symmetry-distinct sites (fractional):
Cu  0.0000  0.0000  0.0000 [2 per cell]  10 Cu 2.49-2.62, 2 Mo 2.75
Cu  0.2500  0.2500  0.5000 [4 per cell]  8 Cu 2.49-2.75, 4 Mo 2.62
Mo  0.0000  0.5000  0.0000 [2 per cell]  2 Mo 2.49, 10 Cu 2.62-2.75

Density of states at the Fermi level   0.50 states/eV/atom
Magnetization   0.0 μB per cell
VASP energy   -158.4 eV/cell

=====

Entry 12:
This record from the Alexandria database describes MgAsIN2 at its PBEsol-relaxed geometry. The functional is SCAN.

Lattice parameters (Å, degrees): 3.8629 3.8629 6.1466 90.00 90.00 90.00
Closest atoms and distances in Å follow each position.
Space group P4/mmm (No. 123)
Symmetry-distinct sites (fractional):
Mg  0.0000  0.0000  0.0000 [1 per cell]  4 I 2.73
As  0.5000  0.5000  0.5000 [1 per cell]  4 N 1.93
I  0.5000  0.5000  0.0000 [1 per cell]  4 Mg 2.73
N  0.0000  0.5000  0.5000 [2 per cell]  2 As 1.93

Density of states at the Fermi level   0.24 states/eV/atom
Magnetization   1.3 μB per cell
ΔE_f (raw)   1.04 eV per atom

=====

Entry 13:
This record from the Alexandria database describes Cs2CaH4 at its PBEsol-relaxed geometry. The functional is SCAN.

Lattice parameters (Å, degrees): 4.5006 4.5006 15.0884 90.00 90.00 90.00
Closest atoms and distances in Å follow each position.
Space group I4/mmm (No. 139)
Symmetry-distinct sites (fractional):
Cs  0.0000  0.0000  0.1481 [4 per cell]  9 H 3.04-3.18
Ca  0.0000  0.0000  0.5000 [2 per cell]  6 H 2.25-2.27
H  0.0000  0.0000  0.3493 [4 per cell]  1 Ca 2.27
H  0.0000  0.5000  0.0000 [4 per cell]  2 Ca 2.25

Density of states at the Fermi level   0.00 states/eV/atom
Magnetization   0.0 μB per cell
VASP energy   -204.5 eV/cell

=====

Entry 14:
This record from the Alexandria database describes HfAgSN2 at its PBEsol-relaxed geometry. The functional is SCAN.

Lattice parameters (Å, degrees): 4.1208 4.1208 5.0515 90.00 90.00 90.00
Closest atoms and distances in Å follow each position.
Space group P4/mmm (No. 123)
Symmetry-distinct sites (fractional):
Hf  0.0000  0.0000  0.0000 [1 per cell]  4 N 2.06
Ag  0.5000  0.5000  0.5000 [1 per cell]  4 S 2.91, 8 N 3.26
S  0.0000  0.0000  0.5000 [1 per cell]  2 Hf 2.53
N  0.0000  0.5000  0.0000 [2 per cell]  2 Hf 2.06

Density of states at the Fermi level   0.28 states/eV/atom
Magnetization   3.0 μB per cell
ΔE_f (raw)   0.17 eV per atom

=====

Entry 15:
This record from the Alexandria database describes SiAg2Sb at its PBEsol-relaxed geometry. The functional is SCAN.

Lattice parameters (Å, degrees): 4.3241 4.3344 7.9683 90.00 90.00 90.00
Closest atoms and distances in Å follow each position.
Space group Cmm2 (No. 35)
Symmetry-distinct sites (fractional):
Si  0.0000  0.0000  0.0000 [2 per cell]  4 Ag 2.68
Ag  0.0000  0.0000  0.4366 [2 per cell]  8 Ag 2.88-3.06, 4 Sb 3.04
Ag  0.0000  0.5000  0.1986 [2 per cell]  4 Si 2.68, 4 Ag 2.88
Sb  0.0000  0.5000  0.7045 [2 per cell]  4 Ag 3.04, 4 Sb 3.06, 4 Si 3.20

Density of states at the Fermi level   0.31 states/eV/atom
Offset from the most stable computed form   0.00 eV per formula unit
Magnetization   0.0 μB per cell
ΔE_f (raw)   0.35 eV per atom

=====

Entry 16:
This record from the Alexandria database describes LiIn3 at its PBEsol-relaxed geometry. The functional is SCAN.

Lattice parameters (Å, degrees): 6.1094 9.1223 3.2739 90.00 90.00 90.00
Closest atoms and distances in Å follow each position.
Space group Cmmm (No. 65)
Symmetry-distinct sites (fractional):
Li  0.0000  0.0000  0.0000 [2 per cell]  10 In 3.05-3.20, 2 Li 3.27
In  0.0000  0.5000  0.0000 [2 per cell]  2 Li 3.05, 10 In 3.20-3.27
In  0.2500  0.2500  0.5000 [4 per cell]  8 In 3.05-3.27, 4 Li 3.20

Density of states at the Fermi level   0.33 states/eV/atom
Magnetization   0.0 μB per cell
VASP energy   -206.3 eV/cell

=====

Entry 17:
This record from the Alexandria database describes MgNiBi2 at its PBEsol-relaxed geometry. The functional is SCAN.

Lattice parameters (Å, degrees): 8.9144 8.9144 4.9606 90.00 90.00 90.00
Closest atoms and distances in Å follow each position.
Space group I-42d (No. 122)
Symmetry-distinct sites (fractional):
Mg  0.0000  0.0000  0.0000 [4 per cell]  2 Ni 2.48
Ni  0.0000  0.0000  0.5000 [4 per cell]  2 Mg 2.48, 4 Bi 2.60
Bi  0.1328  0.2500  0.6250 [8 per cell]  2 Ni 2.60

Density of states at the Fermi level   0.40 states/eV/atom
Magnetization   0.0 μB per cell
VASP energy   -713.4 eV/cell

=====

Entry 18:
This record from the Alexandria database describes ZrGa3Ag at its PBEsol-relaxed geometry. The functional is SCAN.

Lattice parameters (Å, degrees): 4.7362 4.7362 4.7362 90.00 90.00 90.00
Closest atoms and distances in Å follow each position.
Space group Pm-3m (No. 221)
Symmetry-distinct sites (fractional):
Zr  0.0000  0.0000  0.0000 [1 per cell]  12 Ga 3.35
Ga  0.0000  0.5000  0.5000 [3 per cell]  2 Ag 2.37
Ag  0.5000  0.5000  0.5000 [1 per cell]  6 Ga 2.37

Density of states at the Fermi level   0.55 states/eV/atom
Magnetization   0.0 μB per cell
VASP energy   -108.4 eV/cell

=====

Entry 19:
This record from the Alexandria database describes Cu3SbO at its PBEsol-relaxed geometry. The functional is SCAN.

Lattice parameters (Å, degrees): 4.7604 4.7604 4.7604 90.00 90.00 90.00
Closest atoms and distances in Å follow each position.
Space group Pm-3m (No. 221)
Symmetry-distinct sites (fractional):
Cu  0.0000  0.0000  0.5000 [3 per cell]  2 Sb 2.38
Sb  0.0000  0.0000  0.0000 [1 per cell]  6 Cu 2.38
O  0.5000  0.5000  0.5000 [1 per cell]  12 Cu 3.37

Density of states at the Fermi level   1.06 states/eV/atom
Magnetization   1.9 μB per cell
ΔE_f (raw)   1.06 eV per atom

=====

Entry 20:
This record from the Alexandria database describes TlBF4 at its PBEsol-relaxed geometry. The functional is SCAN.

Lattice parameters (Å, degrees): 9.0591 5.5493 7.2566 90.00 90.00 90.00
Closest atoms and distances in Å follow each position.
Space group Pnma (No. 62)
Symmetry-distinct sites (fractional):
Tl  0.1858  0.2500  0.1634 [4 per cell]  10 F 2.88-3.14
B  0.0621  0.2500  0.6924 [4 per cell]  4 F 1.40-1.42
F  0.0769  0.0424  0.8058 [8 per cell]  1 B 1.42
F  0.0773  0.7500  0.3909 [4 per cell]  1 B 1.40
F  0.1758  0.2500  0.5600 [4 per cell]  1 B 1.41

Density of states at the Fermi level   0.00 states/eV/atom
Magnetization   0.0 μB per cell
ΔE_f (raw)   -2.75 eV per atom